{"formula": "Rb2LiPdBr6", "functional": "GGA-PBE", "state": "optimized geometry", "lattice": [[3.725, 2.150, 12.884], [-3.725, 2.150, 12.884], [0.000, -4.301, 12.884]], "species": ["Rb", "Rb", "Rb", "Rb", "Li", "Li", "Pd", "Pd", "Br", "Br", "Br", "Br", "Br", "Br", "Br", "Br", "Br", "Br", "Br", "Br"], "fractional_positions": [[0.122, 0.122, 0.122], [0.298, 0.298, 0.298], [0.702, 0.702, 0.702], [0.878, 0.878, 0.878], [0.420, 0.420, 0.420], [0.580, 0.580, 0.580], [0.000, 0.000, 0.000], [0.500, 0.500, 0.500], [0.135, 0.624, 0.624], [0.203, 0.203, 0.711], [0.203, 0.711, 0.203], [0.289, 0.797, 0.797], [0.376, 0.376, 0.865], [0.376, 0.865, 0.376], [0.624, 0.135, 0.624], [0.624, 0.624, 0.135], [0.711, 0.203, 0.203], [0.797, 0.289, 0.797], [0.797, 0.797, 0.289], [0.865, 0.376, 0.376]], "crystal_system": "trigonal", "m_tot_mub_per_cell": 0.00, "relative_energy_ev_per_atom": 0.000, "e_tot_ev_per_cell": -60.10, "e_form_raw_ev_per_atom": -1.10}


{"formula": "PaGa2Au3", "functional": "GGA-PBE", "state": "optimized geometry", "lattice": [[8.484, -2.100, 0.000], [8.484, 2.100, 0.000], [-2.682, 0.000, 10.074]], "species": ["Pa", "Pa", "Pa", "Ga", "Ga", "Ga", "Ga", "Ga", "Ga", "Au", "Au", "Au", "Au", "Au", "Au", "Au", "Au", "Au"], "fractional_positions": [[0.000, 0.000, 0.000], [0.143, 0.143, 0.694], [0.857, 0.857, 0.306], [0.199, 0.199, 0.072], [0.342, 0.342, 0.552], [0.489, 0.489, 0.239], [0.511, 0.511, 0.761], [0.658, 0.658, 0.448], [0.801, 0.801, 0.928], [0.060, 0.060, 0.365], [0.230, 0.230, 0.338], [0.352, 0.352, 0.085], [0.374, 0.374, 0.827], [0.500, 0.500, 0.500], [0.626, 0.626, 0.173], [0.648, 0.648, 0.915], [0.770, 0.770, 0.662], [0.940, 0.940, 0.635]], "crystal_system": "monoclinic", "formation_enthalpy_0k_mev_per_atom": -301, "m_tot_mub_per_cell": 0.79, "relative_energy_ev_per_atom": 0.035, "e_tot_ev_per_cell": -81.56}


{"formula": "Ba6Ag3Au", "functional": "GGA-PBE", "state": "optimized geometry", "lattice": [[12.845, 0.000, 0.000], [0.000, 4.676, 0.000], [-5.648, 0.000, 14.408]], "species": ["Ba", "Ba", "Ba", "Ba", "Ba", "Ba", "Ba", "Ba", "Ba", "Ba", "Ba", "Ba", "Ag", "Ag", "Ag", "Ag", "Ag", "Ag", "Au", "Au"], "fractional_positions": [[0.017, 0.250, 0.388], [0.065, 0.250, 0.903], [0.261, 0.750, 0.324], [0.340, 0.750, 0.801], [0.345, 0.750, 0.102], [0.401, 0.250, 0.586], [0.599, 0.750, 0.414], [0.655, 0.250, 0.898], [0.660, 0.250, 0.199], [0.739, 0.250, 0.676], [0.935, 0.750, 0.097], [0.983, 0.750, 0.612], [0.154, 0.250, 0.150], [0.192, 0.750, 0.530], [0.429, 0.250, 0.975], [0.571, 0.750, 0.025], [0.808, 0.250, 0.470], [0.846, 0.750, 0.850], [0.427, 0.250, 0.273], [0.573, 0.750, 0.727]], "crystal_system": "monoclinic", "formation_enthalpy_0k_mev_per_atom": -276, "m_tot_mub_per_cell": 0.00, "e_tot_ev_per_cell": -52.25}


{"formula": "LiP2SI", "functional": "GGA-PBE", "state": "optimized geometry", "lattice": [[5.244, 0.000, 0.000], [0.000, 5.244, 0.000], [0.000, 0.000, 5.203]], "species": ["Li", "P", "P", "S", "I"], "fractional_positions": [[0.000, 0.000, 0.000], [0.000, 0.500, 0.500], [0.500, 0.000, 0.500], [0.500, 0.500, 0.000], [0.500, 0.500, 0.500]], "crystal_system": "tetragonal", "m_tot_mub_per_cell": 1.25, "relative_energy_ev_per_atom": 0.678, "e_tot_ev_per_cell": -13.25, "e_form_raw_ev_per_atom": 1.03}


{"formula": "NiAuBr2", "functional": "GGA-PBE", "state": "optimized geometry", "lattice": [[3.729, 0.000, 0.000], [0.000, 3.729, 0.000], [0.000, 0.000, 14.958]], "species": ["Ni", "Ni", "Au", "Au", "Br", "Br", "Br", "Br"], "fractional_positions": [[0.000, 0.000, 0.000], [0.500, 0.500, 0.500], [0.000, 0.500, 0.750], [0.500, 0.000, 0.250], [0.000, 0.000, 0.500], [0.000, 0.500, 0.250], [0.500, 0.000, 0.750], [0.500, 0.500, 0.000]], "crystal_system": "tetragonal", "m_tot_mub_per_cell": 1.97, "relative_energy_ev_per_atom": 0.351, "e_tot_ev_per_cell": -22.07, "e_form_raw_ev_per_atom": 0.34}


{"formula": "Ba2MgAs3Pd4", "functional": "GGA-PBE", "state": "optimized geometry", "lattice": [[4.534, 0.000, 0.000], [0.000, 4.534, 0.000], [0.000, 0.000, 10.572]], "species": ["Ba", "Ba", "Mg", "As", "As", "As", "Pd", "Pd", "Pd", "Pd"], "fractional_positions": [[0.000, 0.500, 0.242], [0.500, 0.000, 0.758], [0.000, 0.000, 0.500], [0.000, 0.500, 0.876], [0.500, 0.000, 0.124], [0.500, 0.500, 0.500], [0.000, 0.000, 0.000], [0.000, 0.500, 0.629], [0.500, 0.000, 0.371], [0.500, 0.500, 0.000]], "crystal_system": "tetragonal", "formation_enthalpy_0k_mev_per_atom": -757, "m_tot_mub_per_cell": 0.00, "e_tot_ev_per_cell": -47.73}


{"formula": "NdDyLu2", "functional": "GGA-PBE", "state": "optimized geometry", "lattice": [[7.966, 0.000, 0.000], [0.000, 7.966, 0.000], [0.000, 0.000, 7.966]], "species": ["Nd", "Nd", "Nd", "Nd", "Dy", "Dy", "Dy", "Dy", "Lu", "Lu", "Lu", "Lu", "Lu", "Lu", "Lu", "Lu"], "fractional_positions": [[0.000, 0.000, 0.000], [0.000, 0.500, 0.500], [0.500, 0.000, 0.500], [0.500, 0.500, 0.000], [0.000, 0.000, 0.500], [0.000, 0.500, 0.000], [0.500, 0.000, 0.000], [0.500, 0.500, 0.500], [0.250, 0.250, 0.250], [0.250, 0.250, 0.750], [0.250, 0.750, 0.250], [0.250, 0.750, 0.750], [0.750, 0.250, 0.250], [0.750, 0.250, 0.750], [0.750, 0.750, 0.250], [0.750, 0.750, 0.750]], "crystal_system": "cubic", "formation_enthalpy_0k_mev_per_atom": 95, "m_tot_mub_per_cell": 0.00, "relative_energy_ev_per_atom": 0.066, "e_tot_ev_per_cell": -72.13}


{"formula": "NaPt", "functional": "GGA-PBE", "state": "optimized geometry", "lattice": [[5.686, 0.000, 0.000], [0.000, 5.686, 0.000], [0.000, 0.000, 5.584]], "species": ["Na", "Na", "Na", "Na", "Pt", "Pt", "Pt", "Pt"], "fractional_positions": [[0.186, 0.186, 0.000], [0.314, 0.686, 0.500], [0.686, 0.314, 0.500], [0.814, 0.814, 0.000], [0.159, 0.159, 0.500], [0.341, 0.659, 0.000], [0.659, 0.341, 0.000], [0.841, 0.841, 0.500]], "crystal_system": "tetragonal", "formation_enthalpy_0k_mev_per_atom": 497, "m_tot_mub_per_cell": 0.01, "e_tot_ev_per_cell": -25.47}


{"formula": "Sc3Cu", "functional": "GGA-PBE", "state": "optimized geometry", "lattice": [[9.662, 0.000, 0.000], [-4.831, 8.368, 0.000], [0.000, 0.000, 3.109]], "species": ["Sc", "Sc", "Sc", "Sc", "Sc", "Sc", "Sc", "Sc", "Sc", "Cu", "Cu", "Cu"], "fractional_positions": [[0.000, 0.500, 0.000], [0.167, 0.333, 0.333], [0.167, 0.833, 0.333], [0.333, 0.167, 0.667], [0.500, 0.000, 0.000], [0.500, 0.500, 0.000], [0.667, 0.833, 0.333], [0.833, 0.167, 0.667], [0.833, 0.667, 0.667], [0.000, 0.000, 0.000], [0.333, 0.667, 0.667], [0.667, 0.333, 0.333]], "crystal_system": "trigonal", "formation_enthalpy_0k_mev_per_atom": 137, "m_tot_mub_per_cell": 0.01, "relative_energy_ev_per_atom": 0.274, "e_tot_ev_per_cell": -67.63}


{"formula": "CsScPa2O8", "functional": "GGA-PBE", "state": "optimized geometry", "lattice": [[3.453, -3.523, 0.000], [3.453, 3.523, 0.000], [0.000, 0.000, 8.271]], "species": ["Cs", "Sc", "Pa", "Pa", "O", "O", "O", "O", "O", "O", "O", "O"], "fractional_positions": [[0.000, 0.000, 0.000], [0.000, 0.000, 0.500], [0.500, 0.500, 0.289], [0.500, 0.500, 0.711], [0.211, 0.211, 0.307], [0.211, 0.211, 0.693], [0.305, 0.695, 0.500], [0.395, 0.605, 0.000], [0.605, 0.395, 0.000], [0.695, 0.305, 0.500], [0.789, 0.789, 0.307], [0.789, 0.789, 0.693]], "crystal_system": "orthorhombic", "m_tot_mub_per_cell": 0.02, "e_tot_ev_per_cell": -100.60, "e_form_raw_ev_per_atom": -2.90}


{"formula": "KTc", "functional": "GGA-PBE", "state": "optimized geometry", "lattice": [[4.662, 0.000, 0.000], [0.000, 10.737, 0.000], [0.000, 0.000, 10.947]], "species": ["K", "K", "K", "K", "K", "K", "K", "K", "Tc", "Tc", "Tc", "Tc", "Tc", "Tc", "Tc", "Tc"], "fractional_positions": [[0.003, 0.114, 0.122], [0.012, 0.108, 0.758], [0.488, 0.892, 0.258], [0.497, 0.886, 0.622], [0.503, 0.386, 0.878], [0.512, 0.392, 0.242], [0.988, 0.608, 0.742], [0.997, 0.614, 0.378], [0.111, 0.648, 0.057], [0.111, 0.841, 0.950], [0.389, 0.159, 0.450], [0.389, 0.352, 0.557], [0.611, 0.659, 0.050], [0.611, 0.852, 0.943], [0.889, 0.148, 0.443], [0.889, 0.341, 0.550]], "crystal_system": "orthorhombic", "formation_enthalpy_0k_mev_per_atom": 880, "m_tot_mub_per_cell": 0.00, "relative_energy_ev_per_atom": 0.123, "e_tot_ev_per_cell": -77.63}


{"formula": "BaTcB2O6", "functional": "GGA-PBE", "state": "optimized geometry", "lattice": [[2.532, 1.462, 5.854], [-2.532, 1.462, 5.854], [0.000, -2.924, 5.854]], "species": ["Ba", "Tc", "B", "B", "O", "O", "O", "O", "O", "O"], "fractional_positions": [[0.000, 0.000, 0.000], [0.500, 0.500, 0.500], [0.230, 0.230, 0.230], [0.770, 0.770, 0.770], [0.067, 0.535, 0.694], [0.306, 0.933, 0.465], [0.465, 0.306, 0.933], [0.535, 0.694, 0.067], [0.694, 0.067, 0.535], [0.933, 0.465, 0.306]], "crystal_system": "trigonal", "m_tot_mub_per_cell": 3.00, "e_tot_ev_per_cell": -77.94, "e_form_raw_ev_per_atom": -2.25}